A relaxed structure of RbAl2N2. Source: the Alexandria database, functional PBE.

It has space group P4/mbm (No. 127), with a = 8.5334 Å, b = 8.5334 Å, c = 2.9035 Å, α = 90.00°, β = 90.00° and γ = 90.00°. The distinct sites, in fractional coordinates, are Rb at (0.0000, 0.0000, 0.0000), Al at (0.1125, 0.3875, 0.5000) and N at (0.0631, 0.5631, 0.0000).

The polymorph energy (0 for the lowest one) is 5.36 eV/f.u. The energy relative to the elements, uncorrected is 49.61 kJ per mole of atoms. Its total magnetic moment is 0.000 μB per atom.